Compound: ReNiBP
Source: the Alexandria database
Functional: PBE-GGA
Structure: optimized geometry

Computed properties:
Relative energy among the computed polymorphs (meV per atom): 121

abc: 2.9984 2.9984 5.2046
angles: 90.00 90.00 90.00
Atoms (fractional coordinates):
1 P 0.0000 0.0000 0.8243
2 B 0.5000 0.5000 0.2064
3 Ni 0.5000 0.5000 0.6395
4 Re 0.0000 0.0000 0.2881

=====

Compound: Nd2Dy3Er5
Source: the Alexandria database
Functional: PBE-GGA
Structure: optimized geometry

Computed properties:
Relative energy among the computed polymorphs (meV per atom): 0

abc: 9.3694 9.3922 11.1014
angles: 125.29 125.24 68.50
Atoms (fractional coordinates):
1 Dy 0.2707 0.5344 0.7549
2 Er 0.8666 0.6107 0.7560
3 Er 0.0192 0.7692 0.5384
4 Dy 0.7293 0.4656 0.2451
5 Nd 0.7766 0.0135 0.7436
6 Nd 0.5330 0.2699 0.2564
7 Dy 0.7710 0.0210 0.0419
8 Dy 0.0158 0.7795 0.2451
9 Er 0.2761 0.5261 0.0523
10 Er 0.4752 0.7252 0.4504
11 Er 0.7239 0.4739 0.9477
12 Er 0.3893 0.1453 0.7560
13 Nd 0.4670 0.7301 0.7436
14 Er 0.5248 0.2748 0.5496
15 Er 0.6107 0.8547 0.2440
16 Dy 0.2290 0.9790 0.9581
17 Dy 0.9842 0.2205 0.7549
18 Er 0.1334 0.3893 0.2440
19 Er 0.9808 0.2308 0.4616
20 Nd 0.2234 0.9865 0.2564

=====

Compound: Sc4Sn2Os
Source: the Alexandria database
Functional: PBE-GGA
Structure: optimized geometry

abc: 4.8693 4.8693 8.3871
angles: 73.13 73.13 90.00
Atoms (fractional coordinates):
1 Sn 0.6378 0.6378 0.7245
2 Sc 0.0000 0.5000 0.0000
3 Sc 0.1719 0.1719 0.6563
4 Sn 0.3622 0.3622 0.2755
5 Sc 0.8281 0.8281 0.3437
6 Os 0.0000 0.0000 0.0000
7 Sc 0.5000 0.0000 0.0000

=====

Compound: K2NiAsPb
Source: the Alexandria database
Functional: PBE-GGA
Structure: optimized geometry

abc: 6.6753 4.7958 6.6753
angles: 90.00 90.00 90.00
Atoms (fractional coordinates):
1 K 0.5000 0.0000 0.0000
2 Ni 0.0000 0.5000 0.0000
3 K 0.0000 0.0000 0.5000
4 Pb 0.0000 0.0000 0.0000
5 As 0.5000 0.5000 0.5000

=====

| no. | D(E_F) (states/eV/f.u.) | energy of formation from the pure elements (eV per atom) |
| --- | --- | --- |
| 1 | 4.4 | -0.052 |
| 2 | 17.8 | 0.195 |
| 3 | 3.8 | -0.223 |
| 4 | 3.1 | 0.621 |